# CsS2NF, single point on PBEsol structure, DFT meta-GGA SCAN
data_CsS2NF
_chemical_formula_sum 'Cs1 S2 N1 F1'
_cell_length_a 6.5206
_cell_length_b 6.5206
_cell_length_c 6.1167
_cell_angle_alpha 90.00
_cell_angle_beta 90.00
_cell_angle_gamma 90.00
_space_group_name_H-M_alt 'P 4/m m m'
_space_group_IT_number 123
_space_group_name_Hall '-P 4 2'
loop_
_atom_site_label
_atom_site_type_symbol
_atom_site_fract_x
_atom_site_fract_y
_atom_site_fract_z
_atom_site_occupancy
Cs1 Cs 0.0000 0.0000 0.0000 1
S1 S 0.0000 0.5000 0.0000 1
N1 N 0.0000 0.0000 0.5000 1
F1 F 0.5000 0.5000 0.5000 1
# * E_form (uncorrected): 1.44 eV per atom
# * DOS(E_F): 3.838 states/eV/cell
# * calculated total energy: -62.70 eV per cell